# 1
The following is a GGA-PBE calculation of Nd5Ho4Hg4 after structural relaxation, from Alexandria. Values from VASP.

Geometry as Quantum ESPRESSO input:
```
&SYSTEM
  ibrav = 0, nat = 13, ntyp = 3
/
ATOMIC_SPECIES
Nd 144.24 Nd.upf
Ho 164.93 Ho.upf
Hg 200.59 Hg.upf
CELL_PARAMETERS angstrom
-6.135 6.135 2.588
6.135 -6.135 2.588
6.135 6.135 -2.588
ATOMIC_POSITIONS angstrom
Nd 0.000 0.000 0.000
Nd 7.606 3.852 0.000
Nd 3.852 4.664 0.000
Nd 2.283 1.471 2.588
Nd -1.471 2.283 2.588
Ho 4.882 1.190 0.000
Ho 4.945 -1.254 2.588
Ho 1.190 7.389 0.000
Ho 1.254 4.945 2.588
Hg 9.287 1.119 0.000
Hg 1.119 2.983 0.000
Hg 5.016 3.152 2.588
Hg -3.152 5.016 2.588
```

Output
formation energy from the elements: -0.3108 eV per atom
calculated total energy: -47.397 eV for the cell shown

# 2
The following is a GGA-PBE calculation of Ho2BeGa3 after structural relaxation, from Alexandria. Values from VASP.

Geometry as Quantum ESPRESSO input:
```
&SYSTEM
  ibrav = 0, nat = 6, ntyp = 3
/
ATOMIC_SPECIES
Ho 164.93 Ho.upf
Be 9.01 Be.upf
Ga 69.72 Ga.upf
CELL_PARAMETERS angstrom
3.792 0.000 0.000
0.000 4.198 0.000
0.000 0.000 7.264
ATOMIC_POSITIONS angstrom
Ho 0.000 0.000 0.000
Ho 0.000 2.099 3.561
Be 1.896 0.000 2.350
Ga 1.896 0.000 4.668
Ga 1.896 2.099 1.284
Ga 1.896 2.099 6.031
```

Output
formation energy from the elements: -0.5329 eV per atom
calculated total energy: -25.159 eV for the cell shown
polymorph energy (0 for the lowest one): 0.5 kJ/mol of atoms

# 3
The following is a GGA-PBE calculation of AlGaGeAs2 after structural relaxation, from Alexandria. Values from VASP.

Geometry as Quantum ESPRESSO input:
```
&SYSTEM
  ibrav = 0, nat = 5, ntyp = 4
/
ATOMIC_SPECIES
Al 26.98 Al.upf
Ga 69.72 Ga.upf
Ge 72.64 Ge.upf
As 74.92 As.upf
CELL_PARAMETERS angstrom
5.040 0.000 0.000
0.000 5.040 0.000
0.000 0.000 4.820
ATOMIC_POSITIONS angstrom
Al 0.000 0.000 0.000
Ga 2.520 2.520 0.000
Ge 2.520 2.520 2.410
As 0.000 2.520 2.410
As 2.520 0.000 2.410
```

Output
formation energy from the elements: 0.6420 eV per atom
calculated total energy: -17.476 eV for the cell shown

# 4
The following is a GGA-PBE calculation of DyY3Tl3 after structural relaxation, from Alexandria. Values from VASP.

Geometry as Quantum ESPRESSO input:
```
&SYSTEM
  ibrav = 0, nat = 14, ntyp = 3
/
ATOMIC_SPECIES
Dy 162.50 Dy.upf
Y 88.91 Y.upf
Tl 204.38 Tl.upf
CELL_PARAMETERS angstrom
9.415 0.000 0.000
-4.708 8.154 0.000
0.000 0.000 5.246
ATOMIC_POSITIONS angstrom
Dy 0.000 5.436 1.311
Dy 4.708 2.718 3.934
Y -1.095 1.921 1.311
Y -2.496 8.142 1.311
Y 1.116 1.909 3.934
Y 3.591 6.245 1.311
Y 7.204 0.012 3.934
Y 5.803 6.233 3.934
Tl -1.444 3.668 3.934
Tl -0.809 7.571 3.934
Tl 2.454 3.084 1.311
Tl 2.253 5.070 3.934
Tl 5.517 0.583 1.311
Tl 6.152 4.486 1.311
```

Output
formation energy from the elements: -0.2340 eV per atom
calculated total energy: -65.462 eV for the cell shown